1.
Below is a geometry-optimized RbMo2O6 structure, with properties calculated at the PBE+U level.

Structure (POSCAR):
```
RbMo2O6
1.0
6.9603 -5.1403 0.0000
6.9603 5.1403 0.0000
-1.2478 0.0000 5.4935
Rb Mo O
2 4 12
Direct
0.1674 0.8326 0.7500
0.8326 0.1674 0.2500
0.1252 0.3431 0.8972
0.3431 0.1252 0.3972
0.6569 0.8748 0.6028
0.8748 0.6569 0.1028
0.0162 0.2039 0.7518
0.0410 0.5640 0.8467
0.2039 0.0162 0.2518
0.2812 0.2904 0.6606
0.2904 0.2812 0.1606
0.4360 0.9590 0.6533
0.5640 0.0410 0.3467
0.7096 0.7188 0.8394
0.7188 0.7096 0.3394
0.7961 0.9838 0.7482
0.9590 0.4360 0.1533
0.9838 0.7961 0.2482
```

Values from the calculation:
* energy relative to the lowest polymorph listed for this composition: 16 meV per atom
* crystal system: monoclinic
* calculated volume: 197 Å³/f.u.
* total magnetization: 0.11 μB per atom
* mass density: 3.15 g/cm3
* space group: No. 15

2.
Below is a geometry-optimized CaMgCoHNF structure, with properties calculated at the PBE+U level.

Structure (POSCAR):
```
CaMgCoHNF
1.0
3.5446 0.0000 0.0000
0.0000 1.7819 6.6119
0.0000 -1.7819 6.6119
Ca Mg Co H N F
1 1 1 1 1 1
Direct
0.0000 0.0000 0.0000
0.0000 0.7693 0.7693
0.5000 0.3715 0.3715
0.5000 0.4890 0.4890
0.5000 0.8543 0.8543
0.0000 0.6231 0.6231
```

Values from the calculation:
* energy relative to the lowest polymorph listed for this composition: 91 meV per atom
* crystal system: orthorhombic
* calculated volume: 84 Å³/f.u.
* total magnetization: 0.16 μB per atom
* mass density: 3.13 g/cm3
* space group: No. 38

What did the second record say?
Below is a geometry-optimized CaMgCoHNF structure, with properties calculated at the PBE+U level.

Structure (POSCAR):
```
CaMgCoHNF
1.0
3.5446 0.0000 0.0000
0.0000 1.7819 6.6119
0.0000 -1.7819 6.6119
Ca Mg Co H N F
1 1 1 1 1 1
Direct
0.0000 0.0000 0.0000
0.0000 0.7693 0.7693
0.5000 0.3715 0.3715
0.5000 0.4890 0.4890
0.5000 0.8543 0.8543
0.0000 0.6231 0.6231
```

Values from the calculation:
* energy relative to the lowest polymorph listed for this composition: 91 meV per atom
* crystal system: orthorhombic
* calculated volume: 84 Å³/f.u.
* total magnetization: 0.16 μB per atom
* mass density: 3.13 g/cm3
* space group: No. 38

Question: What is the mass density in the second record?
Answer: 3.13 g/cm3